No. 1
Here is an optimized crystal structure of Ta3CdCo from Alexandria. Energies are from PBE-GGA.

The energy relative to the lowest polymorph listed for this composition comes out at 0.0000 eV/atom.

abc: 4.615 4.615 4.615
angles: 90.00 90.00 90.00
Space group Pm-3m (No. 221)
Asymmetric unit:
Ta  0.000  0.000  0.500
Cd  0.500  0.500  0.500
Co  0.000  0.000  0.000

No. 2
Here is an optimized crystal structure of Ta3CdCo from Alexandria. Energies are from PBE-GGA.

The energy relative to the lowest polymorph listed for this composition comes out at 1.9879 eV/atom.

abc: 4.909 4.909 4.909
angles: 90.00 90.00 90.00
Space group Pm-3m (No. 221)
Asymmetric unit:
Ta  0.000  0.000  0.500
Cd  0.000  0.000  0.000
Co  0.500  0.500  0.500

No. 3
Here is an optimized crystal structure of TaCdCo2 from Alexandria. Energies are from PBE-GGA.

abc: 9.529 2.791 4.576
angles: 90.00 106.28 90.00
Space group Cm (No. 8)
Asymmetric unit:
Ta  0.000  0.000  0.000
Cd  0.282  0.500  0.356
Co  0.037  0.500  0.534
Co  0.240  0.000  0.831

No. 4
Here is an optimized crystal structure of Ta2CdCo from Alexandria. Energies are from PBE-GGA.

abc: 2.839 4.047 5.741
angles: 90.00 90.00 90.00
Space group Pmmm (No. 47)
Asymmetric unit:
Ta  0.000  0.000  0.230
Cd  0.500  0.500  0.500
Co  0.500  0.500  0.000

No. 5
Here is an optimized crystal structure of Ta2CdCo from Alexandria. Energies are from PBE-GGA.

abc: 2.853 2.853 8.167
angles: 90.00 90.00 90.00
Space group P4/mmm (No. 123)
Asymmetric unit:
Ta  0.000  0.000  0.210
Cd  0.500  0.500  0.500
Co  0.500  0.500  0.000

No. 6
Here is an optimized crystal structure of TaCd2Co2 from Alexandria. Energies are from PBE-GGA.

The energy relative to the lowest polymorph listed for this composition comes out at 0.2605 eV/atom.

abc: 7.520 7.520 2.827
angles: 90.00 90.00 90.00
Space group P4/mbm (No. 127)
Asymmetric unit:
Ta  0.000  0.000  0.000
Cd  0.128  0.372  0.000
Co  0.174  0.674  0.500

No. 7
Here is an optimized crystal structure of Ta2CdCo from Alexandria. Energies are from PBE-GGA.

abc: 10.162 2.978 4.879
angles: 90.00 113.78 90.00
Space group Cm (No. 8)
Asymmetric unit:
Ta  0.000  0.000  0.000
Ta  0.235  0.000  0.782
Cd  0.449  0.000  0.454
Co  0.207  0.500  0.293

No. 8
Here is an optimized crystal structure of Ta2CdCo from Alexandria. Energies are from PBE-GGA.

abc: 3.986 3.986 4.179
angles: 90.00 90.00 90.00
Space group P4/mmm (No. 123)
Asymmetric unit:
Ta  0.000  0.500  0.000
Cd  0.000  0.000  0.500
Co  0.500  0.500  0.500

| no. | size of the total moment (μB/cell) | energy of formation from the pure elements (eV per atom) |
| --- | --- | --- |
| 1 | 0.000 | 0.682 |
| 2 | 0.001 | 2.670 |
| 3 | 2.925 | 0.177 |
| 4 | 0.000 | 0.228 |
| 5 | 0.176 | 0.090 |
| 6 | 2.981 | 0.525 |
| 7 | 1.604 | 0.236 |
| 8 | 0.906 | 0.272 |